Record 1
Here is crystalline CdH6C2I2N2O2 at its relaxed geometry from OQMD via LeMat-Bulk. Energies are from PBE-GGA.

POSCAR file:
```
CdH6C2I2N2O2
1.0
4.111 0.000 0.000
-0.569 7.577 0.000
-0.688 -3.703 7.299
Cd H C I N O
1 6 2 2 2 2
Direct
0.000 0.000 0.000
0.131 0.870 0.539
0.206 0.678 0.139
0.285 0.644 0.404
0.715 0.356 0.596
0.794 0.322 0.861
0.869 0.130 0.461
0.139 0.795 0.266
0.861 0.205 0.734
0.442 0.693 0.818
0.558 0.307 0.182
0.194 0.770 0.415
0.806 0.230 0.585
0.021 0.943 0.264
0.979 0.057 0.736
```

## Properties
VASP energy (eV/atom): -5.163
Symmetry: P-1, No. 2

Record 2
Here is crystalline CdH10C8I2N6O2 at its relaxed geometry from OQMD via LeMat-Bulk. Energies are from PBE-GGA.

POSCAR file:
```
CdH10C8I2N6O2
1.0
7.238 0.000 0.000
0.315 8.084 0.000
3.370 0.094 11.877
Cd H C I N O
2 20 16 4 12 4
Direct
0.119 0.367 0.253
0.881 0.633 0.747
0.003 0.209 0.602
0.082 0.785 0.135
0.203 0.580 0.859
0.215 0.032 0.801
0.275 0.617 0.980
0.284 0.700 0.439
0.349 0.822 0.648
0.426 0.994 0.922
0.443 0.104 0.595
0.494 0.328 0.317
0.506 0.672 0.683
0.557 0.896 0.405
0.574 0.006 0.078
0.651 0.178 0.352
0.716 0.300 0.561
0.725 0.383 0.020
0.785 0.968 0.199
0.797 0.420 0.141
0.918 0.215 0.865
0.997 0.791 0.398
0.017 0.729 0.977
0.018 0.195 0.916
0.067 0.035 0.357
0.180 0.097 0.881
0.271 0.151 0.048
0.272 0.827 0.410
0.381 0.100 0.361
0.417 0.935 0.395
0.583 0.065 0.605
0.619 0.900 0.639
0.728 0.173 0.590
0.729 0.849 0.952
0.820 0.903 0.119
0.933 0.965 0.643
0.982 0.805 0.084
0.983 0.271 0.023
0.202 0.452 0.622
0.408 0.591 0.173
0.592 0.409 0.827
0.798 0.548 0.378
0.101 0.876 0.393
0.109 0.250 0.085
0.177 0.637 0.935
0.207 0.146 0.347
0.302 0.073 0.946
0.482 0.790 0.657
0.518 0.210 0.343
0.698 0.927 0.054
0.793 0.854 0.653
0.823 0.363 0.065
0.891 0.750 0.915
0.899 0.124 0.607
0.089 0.927 0.665
0.388 0.132 0.106
0.612 0.868 0.894
0.911 0.073 0.335
```

## Properties
VASP energy (eV/atom): -6.217
Symmetry: P-1, No. 2